# MgCd2Cu | the Alexandria database | GGA-PBE | relaxed
data_MgCd2Cu
_symmetry_space_group_name_H-M 'P 1'
_symmetry_Int_Tables_number 1
_symmetry_space_group_name_Hall 'P 1'
_cell_length_a 4.614
_cell_length_b 4.617
_cell_length_c 8.383
_cell_angle_alpha 90.00
_cell_angle_beta 90.00
_cell_angle_gamma 120.00
loop_
_atom_site_label
_atom_site_type_symbol
_atom_site_fract_x
_atom_site_fract_y
_atom_site_fract_z
Mg1 Mg 0.000 0.999 0.250
Mg2 Mg 0.000 0.001 0.750
Cd1 Cd 0.334 0.667 0.576
Cd2 Cd 0.666 0.333 0.424
Cd3 Cd 0.334 0.667 0.924
Cd4 Cd 0.666 0.333 0.076
Cu1 Cu 0.667 0.334 0.750
Cu2 Cu 0.333 0.666 0.250
# Energy of formation (eV/atom): -0.046
# E_tot (Ry per atom): -0.142